Entry 1:
VASP calculation (PBE) on an optimized crystal structure of TaTiSi2.

Results
Density of states at the Fermi level: 5.46 states/eV per cell
Raw formation energy: -96 meV per atom

Lattice parameters (Å, degrees): 6.8613 6.8613 5.5925 52.16 52.16 90.00
Element x y z (fractional)
Ta 0.7500 0.2500 0.5000
Ta 0.0000 0.0000 0.0000
Ti 0.5000 0.5000 0.0000
Ti 0.2500 0.7500 0.5000
Si 0.8750 0.8705 0.7500
Si 0.1295 0.6250 0.2500
Si 0.3750 0.3795 0.7500
Si 0.6205 0.1250 0.2500

---

Entry 2:
VASP calculation (PBE) on an optimized crystal structure of Ta2TiSi2.

Results
Density of states at the Fermi level: 1.88 states/eV per cell
Raw formation energy: -680 meV per atom

Lattice parameters (Å, degrees): 6.6541 6.6541 3.5127 90.00 90.00 90.00
Element x y z (fractional)
Ta 0.8282 0.3282 0.5000
Ta 0.3282 0.1718 0.5000
Ta 0.1718 0.6718 0.5000
Ta 0.6718 0.8282 0.5000
Si 0.6279 0.1279 0.0000
Si 0.8721 0.6279 0.0000
Si 0.3721 0.8721 0.0000
Si 0.1279 0.3721 0.0000
Ti 0.0000 0.0000 0.0000
Ti 0.5000 0.5000 0.0000

---

Entry 3:
VASP calculation (PBE) on an optimized crystal structure of TaTi5Si2.

Results
Density of states at the Fermi level: 8.29 states/eV per cell
Raw formation energy: -291 meV per atom

Lattice parameters (Å, degrees): 3.2370 6.5633 6.5633 78.67 75.72 75.72
Element x y z (fractional)
Ta 0.0000 0.0000 0.0000
Ti 0.3590 0.4337 0.8483
Ti 0.0000 0.5000 0.5000
Ti 0.6410 0.5663 0.1517
Ti 0.6410 0.1517 0.5663
Ti 0.3590 0.8483 0.4337
Si 0.7280 0.7720 0.7720
Si 0.2720 0.2280 0.2280

---

Entry 4:
VASP calculation (PBE) on an optimized crystal structure of Ta5Ti5Si6.

Results
Density of states at the Fermi level: 13.50 states/eV per cell
Raw formation energy: -668 meV per atom

Lattice parameters (Å, degrees): 5.0884 7.5705 7.5705 121.58 90.00 90.00
Element x y z (fractional)
Si 0.0000 0.0014 0.3939
Si 0.5000 0.0014 0.5991
Si 0.5000 0.5991 0.0014
Si 0.0000 0.5974 0.5974
Si 0.5000 0.4032 0.4032
Si 0.0000 0.3939 0.0014
Ti 0.7513 0.6671 0.3351
Ti 0.0000 0.2281 0.2281
Ti 0.2487 0.3351 0.6671
Ti 0.2487 0.6671 0.3351
Ti 0.7513 0.3351 0.6671
Ta 0.0000 0.7421 0.9973
Ta 0.5000 0.2458 0.9998
Ta 0.5000 0.7860 0.7860
Ta 0.5000 0.9998 0.2458
Ta 0.0000 0.9973 0.7421

---

Entry 5:
VASP calculation (PBE) on an optimized crystal structure of TaTi2Si6.

Results
Density of states at the Fermi level: 3.64 states/eV per cell
Raw formation energy: -539 meV per atom

Lattice parameters (Å, degrees): 4.7588 4.7475 6.5908 90.00 90.00 120.08
Element x y z (fractional)
Ti 0.5000 0.5000 0.3320
Ti 0.0000 0.5000 0.6680
Si 0.3191 0.1627 0.6636
Si 0.1565 0.8373 0.3364
Si 0.1636 0.3273 0.0000
Si 0.8364 0.6727 0.0000
Si 0.8435 0.1627 0.3364
Si 0.6809 0.8373 0.6636
Ta 0.5000 0.0000 0.0000

---

Entry 6:
VASP calculation (PBE) on an optimized crystal structure of TaTiSi3.

Results
Density of states at the Fermi level: 3.75 states/eV per cell
Raw formation energy: 1015 meV per atom

Lattice parameters (Å, degrees): 4.5342 4.5342 4.5342 90.00 90.00 90.00
Element x y z (fractional)
Ta 0.5000 0.5000 0.5000
Si 0.0000 0.0000 0.5000
Si 0.5000 0.0000 0.0000
Si 0.0000 0.5000 0.0000
Ti 0.0000 0.0000 0.0000

---

Entry 7:
VASP calculation (PBE) on an optimized crystal structure of Ta2TiSi6.

Results
Density of states at the Fermi level: 2.16 states/eV per cell
Raw formation energy: -521 meV per atom

Lattice parameters (Å, degrees): 4.7657 4.7792 6.5998 90.00 90.00 119.91
Element x y z (fractional)
Ta 0.0000 0.5000 0.6660
Ta 0.5000 0.5000 0.3340
Si 0.8432 0.6864 0.0000
Si 0.1568 0.3136 0.0000
Si 0.8349 0.1596 0.3305
Si 0.3247 0.1596 0.6695
Si 0.6753 0.8404 0.6695
Si 0.1651 0.8404 0.3305
Ti 0.5000 0.0000 0.0000

---

Entry 8:
VASP calculation (PBE) on an optimized crystal structure of Ta2TiSi2.

Results
Density of states at the Fermi level: 2.44 states/eV per cell
Raw formation energy: -249 meV per atom

Lattice parameters (Å, degrees): 3.8920 3.8920 6.3191 72.06 72.06 90.00
Element x y z (fractional)
Ti 0.0000 0.0000 0.0000
Si 0.4017 0.4017 0.1965
Si 0.5983 0.5983 0.8035
Ta 0.7500 0.2500 0.5000
Ta 0.2500 0.7500 0.5000

---

Entry 9:
VASP calculation (PBE) on an optimized crystal structure of TaTiSi3.

Results
Density of states at the Fermi level: 6.08 states/eV per cell
Raw formation energy: 801 meV per atom

Lattice parameters (Å, degrees): 4.7951 4.7951 4.7951 90.00 90.00 90.00
Element x y z (fractional)
Ta 0.0000 0.0000 0.0000
Si 0.5000 0.0000 0.0000
Si 0.0000 0.0000 0.5000
Si 0.0000 0.5000 0.0000
Ti 0.5000 0.5000 0.5000

---

Entry 10:
VASP calculation (PBE) on an optimized crystal structure of TaTiSi2.

Results
Density of states at the Fermi level: 3.40 states/eV per cell
Raw formation energy: -171 meV per atom

Lattice parameters (Å, degrees): 4.4285 4.4285 4.4285 60.00 60.00 60.00
Element x y z (fractional)
Ti 0.0000 0.0000 0.0000
Si 0.7500 0.7500 0.7500
Si 0.2500 0.2500 0.2500
Ta 0.5000 0.5000 0.5000

---

Entry 11:
VASP calculation (PBE) on an optimized crystal structure of TaTiSi2.

Results
Density of states at the Fermi level: 1.92 states/eV per cell
Raw formation energy: -278 meV per atom

Lattice parameters (Å, degrees): 3.5918 3.5918 6.3345 73.53 73.53 60.00
Element x y z (fractional)
Si 0.7481 0.7481 0.7558
Si 0.2519 0.2519 0.2442
Ta 0.5000 0.5000 0.5000
Ti 0.0000 0.0000 0.0000

---

Entry 12:
VASP calculation (PBE) on an optimized crystal structure of TaTiSi4.

Results
Density of states at the Fermi level: 3.29 states/eV per cell
Raw formation energy: -377 meV per atom

Lattice parameters (Å, degrees): 3.2502 4.7184 6.5063 110.11 90.00 110.15
Element x y z (fractional)
Ta 0.5000 0.5000 0.0000
Si 0.1691 0.8382 0.3365
Si 0.1693 0.8387 0.8313
Si 0.8309 0.1618 0.6635
Si 0.8307 0.1613 0.1687
Ti 0.5000 0.5000 0.5000